Record 1
ZrAs2SeO | PBE-GGA | optimized geometry

Lattice parameters (Å, degrees): 4.2812 4.2812 4.7243 90.00 90.00 90.00
Fractional coordinates of all 5 atoms:
Zr1 0.0000 0.0000 0.0000
As1 0.0000 0.5000 0.5000
As2 0.5000 0.0000 0.5000
Se1 0.5000 0.5000 0.0000
O1 0.5000 0.5000 0.5000

Properties
The crystal system is tetragonal.

Record 2
ZrAsSe2O | PBE-GGA | optimized geometry

Lattice parameters (Å, degrees): 4.5316 4.5316 4.3070 90.00 90.00 90.00
Fractional coordinates of all 5 atoms:
Zr1 0.0000 0.0000 0.0000
As1 0.5000 0.5000 0.0000
Se1 0.0000 0.5000 0.5000
Se2 0.5000 0.0000 0.5000
O1 0.5000 0.5000 0.5000

Properties
The crystal system is tetragonal.

Record 3
SiAsO3 | PBE-GGA | optimized geometry

Lattice parameters (Å, degrees): 3.8372 3.8372 3.8372 90.00 90.00 90.00
Fractional coordinates of all 5 atoms:
Si1 0.0000 0.0000 0.0000
As1 0.5000 0.5000 0.5000
O1 0.0000 0.5000 0.5000
O2 0.5000 0.0000 0.5000
O3 0.5000 0.5000 0.0000

Properties
The crystal system is cubic.

Record 4
SiAsO2 | PBE-GGA | optimized geometry

Lattice parameters (Å, degrees): 6.8428 6.8428 6.8428 24.13 24.13 24.13
Fractional coordinates of all 4 atoms:
Si1 0.0000 0.0000 0.0000
As1 0.5000 0.5000 0.5000
O1 0.0839 0.0839 0.0839
O2 0.9161 0.9161 0.9161

Properties
The crystal system is trigonal.

no.,uncorrected formation energy (meV per atom),calculated total energy (eV/cell),ρ (g/cm³)
1,-234,-27.5,6.4
2,-147,-25.9,6.4
3,-454,-27.2,4.4
4,-626,-22.5,4.8